Density functional theory data (SCAN) for BeAl3Sn at its PBEsol-relaxed geometry.

Properties
As for the symmetry: Pm-3m, No. 221. The mass density is 2.52 g/cm³. The value obtained for the formation enthalpy at 0 K is 1395 meV per atom.

Cell lengths 5.158, 5.158, 5.158 Å; angles 90.00, 90.00, 90.00 degrees
Element x y z (fractional)
Be1 0.500 0.500 0.500
Sn1 0.000 0.000 0.000
Al1 0.000 0.500 0.000
Al2 0.000 0.000 0.500
Al3 0.500 0.000 0.000

***

Density functional theory data (SCAN) for MnSbCl at its PBEsol-relaxed geometry.

Properties
The calculation puts the energy above the lowest structure with this stoichiometry at 833 meV/atom. As for the symmetry: F-43m, No. 216. The mass density is 4.63 g/cm³. Its formation energy without anion corrections is 0.21 eV/atom.

Cell lengths 4.757, 4.757, 4.757 Å; angles 60.00, 60.00, 60.00 degrees
Element x y z (fractional)
Sb1 0.250 0.250 0.250
Mn1 0.500 0.500 0.500
Cl1 0.000 0.000 0.000

***

Density functional theory data (SCAN) for LiLaP3 at its PBEsol-relaxed geometry.

Properties
As for the symmetry: Pm-3m, No. 221. The mass density is 4.48 g/cm³. The value obtained for the formation enthalpy at 0 K is -328 meV per atom.

Cell lengths 4.458, 4.458, 4.458 Å; angles 90.00, 90.00, 90.00 degrees
Element x y z (fractional)
P1 0.000 0.500 0.000
P2 0.000 0.000 0.500
P3 0.500 0.000 0.000
Li1 0.000 0.000 0.000
La1 0.500 0.500 0.500

***

Among the records above, which one has the highest mass density?
MnSbCl

***

What is the mass density in the third record?
4.48 g/cm³

***

What is the mass density in the first record?
2.52 g/cm³

***

The highest mass density belongs to which entry?
MnSbCl